(1)
UTl2TeS4 | GGA-PBE | optimized geometry

The calculation puts the volume at 30.3 A^3/atom. As for the formation energy without anion corrections: -0.4148 eV/atom. The magnetic moment comes out at 2.0 μB per formula unit.

The space group is I-4 (No. 82) and the conventional cell measures 7.846, 7.846 and 7.874 Å, with angles of 90.00, 90.00 and 90.00 degrees. The asymmetric unit holds U at (0.000, 0.000, 0.000), Tl at (0.000, 0.000, 0.500), Tl at (0.000, 0.500, 0.250), Te at (0.000, 0.500, 0.750) and S at (0.172, 0.793, 0.805).

***

(2)
K3YSc | GGA-PBE | optimized geometry

The calculation puts the volume at 57.5 A^3/atom. Its energy relative to the elements is 6.0 eV per formula unit. The magnetic moment comes out at 4.0 μB per formula unit.

The space group is Pm-3m (No. 221) and the conventional cell measures 6.601, 6.601 and 6.601 Å, with angles of 90.00, 90.00 and 90.00 degrees. The asymmetric unit holds K at (0.000, 0.000, 0.500), Y at (0.500, 0.500, 0.500) and Sc at (0.000, 0.000, 0.000).

***

(3)
NaSb2C2 | GGA-PBE | optimized geometry

The calculation puts the volume at 19.4 A^3/atom. As for the formation energy without anion corrections: 1.0560 eV/atom. The magnetic moment comes out at 0.0 μB per formula unit.

The space group is P4/mbm (No. 127) and the conventional cell measures 7.792, 7.792 and 3.201 Å, with angles of 90.00, 90.00 and 90.00 degrees. The asymmetric unit holds Na at (0.000, 0.000, 0.000), Sb at (0.186, 0.314, 0.500) and C at (0.060, 0.560, 0.000).

***

(4)
Sc2ReMo | GGA-PBE | optimized geometry

The calculation puts the volume at 17.9 A^3/atom. Its energy relative to the elements is 0.9 eV per formula unit. The magnetic moment comes out at 0.0 μB per formula unit.

The space group is Pmm2 (No. 25) and the conventional cell measures 2.960, 4.434 and 5.468 Å, with angles of 90.00, 90.00 and 90.00 degrees. The asymmetric unit holds Sc at (0.000, 0.000, 0.000), Sc at (0.500, 0.500, 0.267), Re at (0.500, 0.500, 0.739) and Mo at (0.000, 0.000, 0.539).

***

One value per record, in order, for total energy: -0.3582 -0.1483 -0.3341 -0.6436 Ry/atom.